25
Lattice="2.870 -14.389 0.000 2.870 14.389 0.000 0.000 0.000 4.043" Properties=species:S:1:pos:R:3 comment="Ba5Ti4MoO15 | Alexandria via LeMat-Bulk | GGA+U | relaxed" crystal_system=orthorhombic dos_at_fermi_per_ev_atom=0.03 dft_energy_ev_per_cell=-195.04 pbc="T T T"
Ba 0.000 0.000 0.000
Ba 2.870 8.620 0.000
Ba 2.870 2.959 0.000
Ba 2.870 -2.959 0.000
Ba 2.870 -8.620 0.000
Ti 2.870 11.485 2.022
Ti 2.870 5.771 2.022
Ti 2.870 -5.771 2.022
Ti 2.870 -11.485 2.022
Mo 2.870 0.000 2.022
O 1.435 7.194 2.022
O 1.440 4.346 2.022
O 2.870 11.476 0.000
O 1.407 1.498 2.022
O 1.407 -1.498 2.022
O 2.870 5.769 0.000
O 1.440 -4.346 2.022
O 1.435 -7.194 2.022
O 2.870 0.000 0.000
O 4.300 4.346 2.022
O 2.870 -5.769 0.000
O 4.333 1.498 2.022
O 4.333 -1.498 2.022
O 2.870 -11.476 0.000
O 4.300 -4.346 2.022

---

13
Lattice="3.024 1.746 7.208 -3.024 1.746 7.208 0.000 -3.492 7.208" Properties=species:S:1:pos:R:3 comment="Ba3TiMoO8 | Alexandria via LeMat-Bulk | GGA+U | relaxed" crystal_system=trigonal dos_at_fermi_per_ev_atom=0.00 dft_energy_ev_per_cell=-94.69 pbc="T T T"
Ba 0.000 0.000 0.000
Ba 0.000 0.000 4.047
Ba 0.000 0.000 16.931
Ti 0.000 0.000 8.527
Mo 0.000 0.000 12.558
O -1.480 -0.854 11.985
O 0.000 -1.721 9.182
O -1.490 0.860 9.182
O 0.000 0.000 6.706
O 0.000 0.000 14.340
O 1.480 -0.854 11.985
O 0.000 1.709 11.985
O 1.490 0.860 9.182

---

12
Lattice="4.116 -3.095 0.000 4.116 3.095 0.000 -1.716 0.000 7.004" Properties=species:S:1:pos:R:3 comment="BaTi2MoO8 | Alexandria via LeMat-Bulk | GGA+U | relaxed" crystal_system=monoclinic dos_at_fermi_per_ev_atom=0.00 dft_energy_ev_per_cell=-94.17 pbc="T T T"
Ba 0.000 0.000 0.000
Ti 2.267 0.000 5.442
Ti 4.250 0.000 1.562
Mo -0.858 0.000 3.502
O 2.871 1.693 4.847
O 0.928 0.000 4.073
O 3.645 1.693 2.157
O 1.165 0.000 6.890
O 5.351 0.000 0.114
O 2.871 -1.693 4.847
O 5.588 0.000 2.931
O 3.645 -1.693 2.157

---

9
Lattice="2.906 -4.847 0.000 2.906 4.847 0.000 -0.187 0.000 5.554" Properties=species:S:1:pos:R:3 comment="BaTlMoO6 | Alexandria via LeMat-Bulk | GGA+U | relaxed" crystal_system=monoclinic dos_at_fermi_per_ev_atom=0.42 dft_energy_ev_per_cell=-54.27 pbc="T T T"
Ba 0.000 0.000 0.000
Tl 2.812 1.692 2.777
Mo 2.812 -1.640 2.777
O 1.117 -1.663 3.818
O 2.274 -0.073 1.617
O 3.350 -0.073 3.937
O 1.955 -2.769 1.572
O 3.670 -2.769 3.982
O 4.508 -1.663 1.736

---

14
Lattice="7.208 0.000 0.000 0.000 6.139 0.000 -3.154 0.000 7.523" Properties=species:S:1:pos:R:3 comment="BaTlMoO4 | Alexandria via LeMat-Bulk | GGA+U | relaxed" crystal_system=monoclinic dos_at_fermi_per_ev_atom=0.00 dft_energy_ev_per_cell=-87.17 pbc="T T T"
Ba 1.110 1.535 1.025
Ba 2.943 4.605 6.498
Tl -0.794 1.535 4.805
Tl 4.847 4.605 2.718
Mo -0.696 4.605 6.617
Mo 4.750 1.535 0.906
O -1.964 3.160 6.422
O -1.964 6.049 6.422
O 0.487 4.605 5.237
O 3.035 4.605 0.827
O 1.018 1.535 6.696
O 3.566 1.535 2.287
O 6.017 0.090 1.101
O 6.017 2.979 1.101

---

20
Lattice="-4.202 4.202 4.202 4.202 -4.202 4.202 4.202 4.202 -4.202" Properties=species:S:1:pos:R:3 comment="Ba4TlMo3O12 | Alexandria via LeMat-Bulk | GGA+U | relaxed" crystal_system=cubic dos_at_fermi_per_ev_atom=0.54 dft_energy_ev_per_cell=-131.61 pbc="T T T"
Ba 2.101 2.101 -2.101
Ba 2.101 -2.101 2.101
Ba -2.101 2.101 2.101
Ba 2.101 2.101 2.101
Tl 0.000 0.000 0.000
Mo 4.202 0.000 0.000
Mo 0.000 4.202 0.000
Mo 0.000 0.000 4.202
O 2.224 0.000 0.000
O 6.180 0.000 0.000
O 4.202 2.101 0.000
O 4.202 0.000 2.101
O 0.000 2.224 0.000
O 0.000 0.000 2.224
O 2.101 4.202 0.000
O 2.101 0.000 4.202
O 0.000 6.180 0.000
O 0.000 0.000 6.180
O 0.000 4.202 2.101
O 0.000 2.101 4.202